First-principles (PBE) data for a geometry-optimized AlCdGe structure, as listed in OQMD.

Cell: 4.5759 4.5759 4.5759 Å, 60.00 60.00 60.00°
Last column: nearest neighbours and their distance in Å.
Atoms (fractional coordinates):
Al1 0.2500 0.2500 0.2500  4 Cd 2.80
Cd1 0.0000 0.0000 0.0000  4 Ge 2.80, 4 Al 2.80
Ge1 0.7500 0.7500 0.7500  4 Cd 2.80

Summary:
Energy above the lowest structure with this stoichiometry (eV per atom): 0.114

First-principles (PBE) data for a geometry-optimized CuSb structure, as listed in OQMD.

Cell: 5.0280 4.1826 7.8079 Å, 90.00 90.00 90.00°
Last column: nearest neighbours and their distance in Å.
Atoms (fractional coordinates):
Cu1 0.7500 0.0000 0.4144  4 Cu 2.53, 3 Sb 2.67-2.74
Cu2 0.0000 0.5000 0.5000  6 Cu 2.51-2.53, 2 Sb 2.75
Cu3 0.5000 0.5000 0.5000  6 Cu 2.51-2.53, 2 Sb 2.75
Cu4 0.2500 0.0000 0.5856  4 Cu 2.53, 3 Sb 2.67-2.74
Sb1 0.7500 0.5000 0.1869  4 Cu 2.74-2.75
Sb2 0.2500 0.0000 0.2436  3 Cu 2.67-2.85
Sb3 0.7500 0.0000 0.7564  3 Cu 2.67-2.85
Sb4 0.2500 0.5000 0.8131  4 Cu 2.74-2.75

Summary:
E (eV per atom): -3.868

First-principles (PBE) data for a geometry-optimized LiCuB structure, as listed in OQMD.

Cell: 4.0303 4.0303 4.5105 Å, 104.25 104.25 78.93°
Last column: nearest neighbours and their distance in Å.
Atoms (fractional coordinates):
B1 0.8658 0.1831 0.7272  1 B 1.63
B2 0.1831 0.8658 0.7272  1 B 1.63
Cu1 0.7027 0.7027 0.6656  4 B 2.10-2.14
Cu2 0.3232 0.3232 0.6849  4 B 2.09-2.12
Li1 0.6451 0.1286 0.1924  3 B 2.33-2.59, 1 Li 2.48, 2 Cu 2.56-2.60
Li2 0.1286 0.6451 0.1924  3 B 2.33-2.59, 1 Li 2.48, 2 Cu 2.56-2.60

Summary:
E (eV per atom): -4.058

First-principles (PBE) data for a geometry-optimized PmPaO4 structure, as listed in OQMD.

Cell: 6.6141 6.6141 6.6141 Å, 34.32 34.32 34.32°
Last column: nearest neighbours and their distance in Å.
Atoms (fractional coordinates):
O1 0.1180 0.1180 0.1180  1 Pa 2.20, 3 Pm 2.43
O2 0.3681 0.3681 0.3681  3 Pa 2.35, 1 Pm 2.46, 3 O 2.60
O3 0.6319 0.6319 0.6319  3 Pa 2.35, 1 Pm 2.46, 3 O 2.60
O4 0.8820 0.8820 0.8820  1 Pa 2.20, 3 Pm 2.43
Pa1 0.0000 0.0000 0.0000  8 O 2.20-2.35
Pm1 0.5000 0.5000 0.5000  8 O 2.43-2.46

Summary:
Size of the total moment (μB per formula unit): 0.0
E (eV per atom): -8.993

First-principles (PBE) data for a geometry-optimized GaRe2Tc structure, as listed in OQMD.

Cell: 4.3611 4.3611 4.3611 Å, 60.00 60.00 60.00°
Last column: nearest neighbours and their distance in Å.
Atoms (fractional coordinates):
Ga1 0.5000 0.5000 0.5000  4 Tc 2.67, 4 Re 2.67
Re1 0.0000 0.0000 0.0000  4 Re 2.67, 4 Tc 2.67
Re2 0.7500 0.7500 0.7500  4 Re 2.67, 4 Ga 2.67
Tc1 0.2500 0.2500 0.2500  4 Ga 2.67, 4 Re 2.67

Summary:
Size of the total moment (μB per formula unit): 0.1
E (eV per atom): -9.441

First-principles (PBE) data for a geometry-optimized ErScAl2Pt4 structure, as listed in OQMD.

Cell: 4.2901 4.2901 8.9916 Å, 90.00 90.00 120.00°
Last column: nearest neighbours and their distance in Å.
Atoms (fractional coordinates):
Al1 0.6667 0.3333 0.2553  6 Pt 2.60
Al2 0.6667 0.3333 0.7447  6 Pt 2.60
Er1 0.0000 0.0000 0.0000  8 Pt 2.91-3.09
Pt1 0.3333 0.6667 0.1691  3 Al 2.60, 3 Er 2.91
Pt2 0.0000 0.0000 0.3439  3 Al 2.60, 1 Pt 2.81, 3 Sc 2.85
Pt3 0.0000 0.0000 0.6561  3 Al 2.60, 1 Pt 2.81, 3 Sc 2.85
Pt4 0.3333 0.6667 0.8309  3 Al 2.60, 3 Er 2.91
Sc1 0.3333 0.6667 0.5000  8 Pt 2.85-2.98

Summary:
Size of the total moment (μB per formula unit): 0.0
E (eV per atom): -6.510

First-principles (PBE) data for a geometry-optimized SrB4W structure, as listed in OQMD.

Cell: 3.0878 3.0878 7.7950 Å, 90.00 90.00 120.00°
Last column: nearest neighbours and their distance in Å.
Atoms (fractional coordinates):
B1 0.6667 0.3333 0.2110  3 B 1.78
B2 0.3333 0.6667 0.2110  3 B 1.78
B3 0.6667 0.3333 0.7890  3 B 1.78
B4 0.3333 0.6667 0.7890  3 B 1.78
Sr1 0.0000 0.0000 0.5000  12 B 2.87, 6 Sr 3.09
W1 0.0000 0.0000 0.0000  12 B 2.43

Summary:
Size of the total moment (μB per formula unit): 0.0
Energy above the lowest structure with this stoichiometry (eV per atom): 0.000

First-principles (PBE) data for a geometry-optimized TbDyGe2 structure, as listed in OQMD.

Cell: 9.5226 9.5226 5.4723 Å, 90.00 90.00 155.25°
Last column: nearest neighbours and their distance in Å.
Atoms (fractional coordinates):
Dy1 0.7980 0.2020 0.2500  5 Ge 2.75-2.97
Dy2 0.2020 0.7980 0.7500  5 Ge 2.75-2.97
Ge1 0.9578 0.0422 0.2500  1 Dy 2.97, 2 Tb 3.02, 2 Ge 3.15
Ge2 0.1868 0.8132 0.2500  4 Dy 2.75-2.91, 2 Tb 2.88
Ge3 0.8132 0.1868 0.7500  4 Dy 2.75-2.91, 2 Tb 2.88
Ge4 0.0422 0.9578 0.7500  1 Dy 2.97, 2 Tb 3.02, 2 Ge 3.15
Tb1 0.5777 0.4223 0.2500  4 Ge 2.88-3.02
Tb2 0.4223 0.5777 0.7500  4 Ge 2.88-3.02

Summary:
Size of the total moment (μB per formula unit): 0.0
Energy above the lowest structure with this stoichiometry (eV per atom): 0.300

First-principles (PBE) data for a geometry-optimized DyEr2Cd3InGa2 structure, as listed in OQMD.

Cell: 4.4974 7.2895 7.2895 Å, 120.06 90.00 90.00°
Last column: nearest neighbours and their distance in Å.
Atoms (fractional coordinates):
Cd1 0.5000 0.7444 0.0000  2 Ga 2.75-2.76, 2 In 2.92
Cd2 0.5000 0.2553 0.2553  2 Ga 2.76, 2 In 2.92
Cd3 0.5000 0.0000 0.7444  2 Ga 2.75-2.76, 2 In 2.92
Dy1 0.0000 0.5625 0.5625  4 Ga 3.12, 2 Cd 3.17, 1 In 3.19
Er1 0.0000 0.4375 0.0000  4 Ga 3.11, 2 Cd 3.17, 1 In 3.19
Er2 0.0000 0.0000 0.4375  4 Ga 3.11, 2 Cd 3.17, 1 In 3.19
Ga1 0.5000 0.6669 0.3331  3 Cd 2.75-2.76
Ga2 0.5000 0.3331 0.6669  3 Cd 2.75-2.76
In1 0.0000 0.0003 0.0003  6 Cd 2.92, 2 Er 3.19, 1 Dy 3.19

Summary:
Size of the total moment (μB per formula unit): 0.0
E (eV per atom): -3.276

First-principles (PBE) data for a geometry-optimized Zn2CuPd6 structure, as listed in OQMD.

Cell: 4.1081 8.0111 9.0004 Å, 90.00 117.15 90.00°
Last column: nearest neighbours and their distance in Å.
Atoms (fractional coordinates):
Cu1 0.5000 0.5000 0.0000  8 Pd 2.56-2.62
Cu2 0.5000 0.0000 0.5000  8 Pd 2.56-2.62
Pd1 0.5215 0.8264 0.0216  1 Cu 2.62, 3 Zn 2.64-2.69, 8 Pd 2.76-2.85
Pd2 0.1354 0.3646 0.1354  2 Cu 2.56, 4 Zn 2.66-2.84, 6 Pd 2.76-2.85
Pd3 0.1737 0.0215 0.1736  1 Cu 2.62, 3 Zn 2.64-2.69, 8 Pd 2.77-2.85
Pd4 0.8263 0.5215 0.3264  1 Cu 2.62, 3 Zn 2.64-2.69, 8 Pd 2.77-2.85
Pd5 0.8646 0.8646 0.3646  2 Cu 2.56, 4 Zn 2.66-2.84, 6 Pd 2.76-2.85
Pd6 0.4785 0.3264 0.4784  1 Cu 2.62, 3 Zn 2.64-2.69, 8 Pd 2.76-2.85
Pd7 0.5215 0.6736 0.5216  1 Cu 2.62, 3 Zn 2.64-2.69, 8 Pd 2.76-2.85
Pd8 0.1354 0.1354 0.6354  2 Cu 2.56, 4 Zn 2.66-2.84, 6 Pd 2.76-2.85
Pd9 0.1737 0.4785 0.6736  1 Cu 2.62, 3 Zn 2.64-2.69, 8 Pd 2.77-2.85
Pd10 0.8263 0.9785 0.8264  1 Cu 2.62, 3 Zn 2.64-2.69, 8 Pd 2.77-2.85
Pd11 0.8646 0.6354 0.8646  2 Cu 2.56, 4 Zn 2.66-2.84, 6 Pd 2.76-2.85
Pd12 0.4785 0.1736 0.9784  1 Cu 2.62, 3 Zn 2.64-2.69, 8 Pd 2.76-2.85
Zn1 0.1920 0.6921 0.1922  10 Pd 2.64-2.84
Zn2 0.8080 0.1921 0.3078  10 Pd 2.64-2.84
Zn3 0.1920 0.8079 0.6922  10 Pd 2.64-2.84
Zn4 0.8080 0.3079 0.8078  10 Pd 2.64-2.84

Summary:
E (eV per atom): -4.490